GGA-PBE BaInAs2Se, relaxed; uncorrected formation energy = 616 meV/atom; V = 42.2 A^3/atom; M_tot = 0.433 μB per atom; offset from the most stable computed form = 860.8 meV/atom; symmetry = P4/mmm, No. 123
1.0
5.915 0.000 0.000
0.000 5.915 0.000
0.000 0.000 6.033
Ba In As Se
1 1 2 1
Cartesian
0.000 0.000 0.000 Ba
2.957 2.957 3.017 In
0.000 2.957 0.000 As
2.957 0.000 0.000 As
0.000 0.000 3.017 Se


GGA-PBE TlBH2, relaxed; V = 11.2 A^3/atom; M_tot = 0.000 μB per atom; offset from the most stable computed form = 0.0 meV/atom; symmetry = I4_1/amd, No. 141
1.0
-2.400 2.400 3.905
2.400 -2.400 3.905
2.400 2.400 -3.905
Tl B H
2 2 4
Cartesian
2.400 1.200 0.976 Tl
0.000 1.200 2.929 Tl
2.400 -1.200 2.929 B
0.000 3.600 0.976 B
0.000 0.000 0.000 H
1.200 1.200 -1.953 H
1.200 -1.200 1.953 H
0.000 2.400 0.000 H


GGA-PBE SrBe4Se, relaxed; uncorrected formation energy = 551 meV/atom; V = 15.6 A^3/atom; M_tot = 0.000 μB per atom; symmetry = F-43m, No. 216
1.0
0.000 3.603 3.603
3.603 0.000 3.603
3.603 3.603 0.000
Sr Be Se
1 4 1
Cartesian
0.000 0.000 0.000 Sr
4.532 2.674 2.674 Be
2.674 4.532 2.674 Be
2.674 2.674 4.532 Be
4.532 4.532 4.532 Be
1.801 1.801 1.801 Se


GGA-PBE Tl2AgHIr, relaxed; V = 19.6 A^3/atom; M_tot = 0.000 μB per atom; E_tot = -16.2 eV per cell; symmetry = P4/mmm, No. 123
1.0
5.503 0.000 0.000
0.000 5.503 0.000
0.000 0.000 3.244
Tl Ag H Ir
2 1 1 1
Cartesian
0.000 2.751 0.000 Tl
2.751 0.000 0.000 Tl
0.000 0.000 0.000 Ag
0.000 0.000 1.622 H
2.751 2.751 1.622 Ir


GGA-PBE CaTaAg, relaxed; V = 21.8 A^3/atom; M_tot = 0.000 μB per atom; energy relative to the elements = 219 kJ/mol of formula units; offset from the most stable computed form = 632.6 meV/atom; symmetry = P6_3/mmc, No. 194
1.0
4.883 0.000 0.000
-2.441 4.229 0.000
0.000 0.000 6.338
Ca Ta Ag
2 2 2
Cartesian
0.000 0.000 0.000 Ca
0.000 0.000 3.169 Ca
0.000 2.819 1.585 Ta
2.441 1.410 4.754 Ta
0.000 2.819 4.754 Ag
2.441 1.410 1.585 Ag


GGA-PBE TeIr2Rh, relaxed; uncorrected formation energy = 245 meV/atom; V = 16.1 A^3/atom; M_tot = 0.000 μB per atom; symmetry = P4/mmm, No. 123
1.0
4.016 0.000 0.000
0.000 4.016 0.000
0.000 0.000 3.982
Te Ir Rh
1 2 1
Cartesian
0.000 0.000 0.000 Te
0.000 2.008 1.991 Ir
2.008 0.000 1.991 Ir
2.008 2.008 0.000 Rh